{"formula": "CaSc2Fe", "functional": "PBE-GGA", "state": "optimized geometry", "cell": [[3.3917, 0.0000, 0.0000], [0.0000, 5.5347, 0.0000], [0.0000, 0.0000, 9.6722]], "species": ["Ca", "Ca", "Sc", "Sc", "Sc", "Sc", "Fe", "Fe"], "fractional_positions": [[0.0000, 0.0000, 0.0000], [0.5000, 0.5000, 0.5000], [0.0000, 0.5000, 0.1854], [0.0000, 0.5000, 0.8146], [0.5000, 0.0000, 0.3146], [0.5000, 0.0000, 0.6854], [0.0000, 0.0000, 0.5000], [0.5000, 0.5000, 0.0000]], "mass_density_g_cm3": 3.4, "delta_e_f_ev_per_atom": 0.1392, "relative_energy_ev_per_atom": 0.141}

***

{"formula": "Pr4Er2Th", "functional": "PBE-GGA", "state": "optimized geometry", "cell": [[-3.4295, 5.8382, 6.0890], [3.4295, -5.8382, 6.0890], [3.4295, 5.8382, -6.0890]], "species": ["Pr", "Pr", "Pr", "Pr", "Pr", "Pr", "Pr", "Pr", "Er", "Er", "Er", "Er", "Th", "Th"], "fractional_positions": [[0.1595, 0.1570, 0.0025], [0.2375, 0.2117, 0.4741], [0.2375, 0.7634, 0.0259], [0.3455, 0.8430, 0.5025], [0.6545, 0.1570, 0.4975], [0.7625, 0.2366, 0.9741], [0.7625, 0.7883, 0.5259], [0.8405, 0.8430, 0.9975], [0.0000, 0.5000, 0.5000], [0.0292, 0.2792, 0.7500], [0.5000, 0.5000, 0.0000], [0.9708, 0.7208, 0.2500], [0.5000, 0.0000, 0.0000], [0.5000, 0.5000, 0.5000]], "mass_density_g_cm3": 7.7, "delta_e_f_ev_per_atom": 0.2990, "relative_energy_ev_per_atom": 0.205}

***

{"formula": "Ac3Pm12Ho", "functional": "PBE-GGA", "state": "optimized geometry", "cell": [[5.2389, 0.0000, 0.0000], [0.0000, 5.2389, 0.0000], [0.0000, 0.0000, 20.9257]], "species": ["Ac", "Ac", "Ac", "Pm", "Pm", "Pm", "Pm", "Pm", "Pm", "Pm", "Pm", "Pm", "Pm", "Pm", "Pm", "Ho"], "fractional_positions": [[0.0000, 0.0000, 0.0000], [0.0000, 0.0000, 0.2530], [0.0000, 0.0000, 0.7470], [0.0000, 0.5000, 0.1265], [0.0000, 0.5000, 0.3806], [0.0000, 0.5000, 0.6194], [0.0000, 0.5000, 0.8735], [0.5000, 0.0000, 0.1265], [0.5000, 0.0000, 0.3806], [0.5000, 0.0000, 0.6194], [0.5000, 0.0000, 0.8735], [0.5000, 0.5000, 0.0000], [0.5000, 0.5000, 0.2541], [0.5000, 0.5000, 0.5000], [0.5000, 0.5000, 0.7459], [0.0000, 0.0000, 0.5000]], "mass_density_g_cm3": 7.5, "delta_e_f_ev_per_atom": 0.0291}